(1)
Below is a relaxed AlFeCoMo crystal, with properties calculated at the PBE level.

a b c (Å): 4.1542 4.1542 4.1542
angles (deg): 60.00 60.00 60.00
Fractional coordinates of all 4 atoms:
Al 0.0000 0.0000 0.0000
Fe 0.2500 0.2500 0.2500
Co 0.7500 0.7500 0.7500
Mo 0.5000 0.5000 0.5000

Summary:
DFT formation energy in meV per atom: -202.2



(2)
Below is a relaxed AlFeCoOs2 crystal, with properties calculated at the PBE level.

a b c (Å): 4.3880 4.3880 4.2629
angles (deg): 90.00 90.00 90.00
Fractional coordinates of all 5 atoms:
Al 0.0000 0.0000 0.0000
Fe 0.0000 0.0000 0.5000
Co 0.5000 0.5000 0.0000
Os 0.0000 0.5000 0.5000
Os 0.5000 0.0000 0.5000

Summary:
DFT formation energy in meV per atom: 1363.6



(3)
Below is a relaxed PaAlFeCo crystal, with properties calculated at the PBE level.

a b c (Å): 4.4541 4.4541 4.4541
angles (deg): 60.00 60.00 60.00
Fractional coordinates of all 4 atoms:
Pa 0.0000 0.0000 0.0000
Al 0.5000 0.5000 0.5000
Fe 0.2500 0.2500 0.2500
Co 0.7500 0.7500 0.7500

Summary:
DFT formation energy in meV per atom: -270.5



(4)
Below is a relaxed Pm2AlFe2Co5 crystal, with properties calculated at the PBE level.

a b c (Å): 9.5622 9.5622 3.3434
angles (deg): 90.00 90.00 90.00
Fractional coordinates of all 20 atoms:
Pm 0.1793 0.3207 0.0000
Pm 0.3207 0.8207 0.0000
Pm 0.6793 0.1793 0.0000
Pm 0.8207 0.6793 0.0000
Al 0.0000 0.0000 0.0000
Al 0.5000 0.5000 0.0000
Fe 0.1212 0.6212 0.0000
Fe 0.3788 0.1212 0.0000
Fe 0.6212 0.8788 0.0000
Fe 0.8788 0.3788 0.0000
Co 0.0000 0.5000 0.5000
Co 0.0576 0.7940 0.5000
Co 0.2060 0.0576 0.5000
Co 0.2940 0.5576 0.5000
Co 0.4424 0.2940 0.5000
Co 0.5000 0.0000 0.5000
Co 0.5576 0.7060 0.5000
Co 0.7060 0.4424 0.5000
Co 0.7940 0.9424 0.5000
Co 0.9424 0.2060 0.5000

Summary:
DFT formation energy in meV per atom: 29.7



(5)
Below is a relaxed PmAl3FeCo crystal, with properties calculated at the PBE level.

a b c (Å): 6.3042 6.3042 5.7280
angles (deg): 90.00 90.00 107.82
Fractional coordinates of all 12 atoms:
Pm 0.2227 0.7773 0.7500
Pm 0.7773 0.2227 0.2500
Al 0.2447 0.2447 0.0000
Al 0.2447 0.2447 0.5000
Al 0.2897 0.7103 0.2500
Al 0.7103 0.2897 0.7500
Al 0.7553 0.7553 0.0000
Al 0.7553 0.7553 0.5000
Fe 0.0654 0.9346 0.2500
Fe 0.9346 0.0654 0.7500
Co 0.4918 0.5082 0.7500
Co 0.5082 0.4918 0.2500

Summary:
DFT formation energy in meV per atom: -164.3



(6)
Below is a relaxed AlFeCoRh crystal, with properties calculated at the PBE level.

a b c (Å): 4.1550 4.1550 4.1550
angles (deg): 60.00 60.00 60.00
Fractional coordinates of all 4 atoms:
Al 0.0000 0.0000 0.0000
Fe 0.5000 0.5000 0.5000
Co 0.2500 0.2500 0.2500
Rh 0.7500 0.7500 0.7500

Summary:
DFT formation energy in meV per atom: -450.8



(7)
Below is a relaxed AlFeCoS2 crystal, with properties calculated at the PBE level.

a b c (Å): 4.3425 4.3425 4.5435
angles (deg): 90.00 90.00 90.00
Fractional coordinates of all 5 atoms:
Al 0.0000 0.0000 0.0000
Fe 0.5000 0.5000 0.0000
Co 0.5000 0.5000 0.5000
S 0.0000 0.5000 0.5000
S 0.5000 0.0000 0.5000

Summary:
DFT total energy in eV per atom: -5.0271



(8)
Below is a relaxed Sm2AlFe2Co5 crystal, with properties calculated at the PBE level.

a b c (Å): 9.5254 9.5254 3.3460
angles (deg): 90.00 90.00 90.00
Fractional coordinates of all 20 atoms:
Sm 0.1791 0.3209 0.0000
Sm 0.3209 0.8209 0.0000
Sm 0.6791 0.1791 0.0000
Sm 0.8209 0.6791 0.0000
Al 0.0000 0.0000 0.0000
Al 0.5000 0.5000 0.0000
Fe 0.1212 0.6212 0.0000
Fe 0.3788 0.1212 0.0000
Fe 0.6212 0.8788 0.0000
Fe 0.8788 0.3788 0.0000
Co 0.0000 0.5000 0.5000
Co 0.0578 0.7940 0.5000
Co 0.2060 0.0578 0.5000
Co 0.2940 0.5578 0.5000
Co 0.4422 0.2940 0.5000
Co 0.5000 0.0000 0.5000
Co 0.5578 0.7060 0.5000
Co 0.7060 0.4422 0.5000
Co 0.7940 0.9422 0.5000
Co 0.9422 0.2060 0.5000

Summary:
DFT formation energy in meV per atom: 10.9



(9)
Below is a relaxed AlFe2CoSn crystal, with properties calculated at the PBE level.

a b c (Å): 4.4736 4.4736 4.7100
angles (deg): 90.00 90.00 90.00
Fractional coordinates of all 5 atoms:
Al 0.0000 0.0000 0.0000
Fe 0.0000 0.5000 0.5000
Fe 0.5000 0.0000 0.5000
Co 0.5000 0.5000 0.5000
Sn 0.5000 0.5000 0.0000

Summary:
DFT formation energy in meV per atom: 746.3



(10)
Below is a relaxed SrAlFe2Co crystal, with properties calculated at the PBE level.

a b c (Å): 4.4059 4.4059 5.2654
angles (deg): 90.00 90.00 90.00
Fractional coordinates of all 5 atoms:
Sr 0.0000 0.0000 0.0000
Al 0.0000 0.0000 0.5000
Fe 0.0000 0.5000 0.0000
Fe 0.5000 0.0000 0.0000
Co 0.5000 0.5000 0.5000

Summary:
DFT formation energy in meV per atom: 2739.8



(11)
Below is a relaxed Th2AlFe3Co12 crystal, with properties calculated at the PBE level.

a b c (Å): 6.2827 6.2827 6.2827
angles (deg): 83.94 83.94 83.94
Fractional coordinates of all 18 atoms:
Th 0.2235 0.2235 0.2235
Th 0.7765 0.7765 0.7765
Al 0.5000 0.5000 0.5000
Fe 0.0000 0.5000 0.5000
Fe 0.5000 0.0000 0.5000
Fe 0.5000 0.5000 0.0000
Co 0.0831 0.0831 0.6496
Co 0.0831 0.6496 0.0831
Co 0.2210 0.6967 0.6967
Co 0.3033 0.3033 0.7790
Co 0.3033 0.7790 0.3033
Co 0.3504 0.9169 0.9169
Co 0.6496 0.0831 0.0831
Co 0.6967 0.2210 0.6967
Co 0.6967 0.6967 0.2210
Co 0.7790 0.3033 0.3033
Co 0.9169 0.3504 0.9169
Co 0.9169 0.9169 0.3504

Summary:
DFT formation energy in meV per atom: 121.2



(12)
Below is a relaxed Th2AlFe2Co5 crystal, with properties calculated at the PBE level.

a b c (Å): 8.9923 8.9923 3.7461
angles (deg): 90.00 90.00 90.00
Fractional coordinates of all 20 atoms:
Th 0.1897 0.3103 0.0000
Th 0.3103 0.8103 0.0000
Th 0.6897 0.1897 0.0000
Th 0.8103 0.6897 0.0000
Al 0.0000 0.0000 0.0000
Al 0.5000 0.5000 0.0000
Fe 0.1084 0.6084 0.0000
Fe 0.3916 0.1084 0.0000
Fe 0.6084 0.8916 0.0000
Fe 0.8916 0.3916 0.0000
Co 0.0000 0.5000 0.5000
Co 0.0565 0.7907 0.5000
Co 0.2093 0.0565 0.5000
Co 0.2907 0.5565 0.5000
Co 0.4435 0.2907 0.5000
Co 0.5000 0.0000 0.5000
Co 0.5565 0.7093 0.5000
Co 0.7093 0.4435 0.5000
Co 0.7907 0.9435 0.5000
Co 0.9435 0.2093 0.5000

Summary:
DFT formation energy in meV per atom: -77.8



Number 1: DOS at the Fermi energy 2.0 states/eV/f.u.. Number 2: DOS at the Fermi energy 8.0 states/eV/f.u.. Number 3: DOS at the Fermi energy 3.5 states/eV/f.u.. Number 4: DOS at the Fermi energy 8.9 states/eV/f.u.. Number 5: DOS at the Fermi energy 2.5 states/eV/f.u.. Number 6: DOS at the Fermi energy 1.9 states/eV/f.u.. Number 7: DOS at the Fermi energy 3.6 states/eV/f.u.. Number 8: DOS at the Fermi energy 9.0 states/eV/f.u.. Number 9: DOS at the Fermi energy 4.4 states/eV/f.u.. Number 10: DOS at the Fermi energy 10.8 states/eV/f.u.. Number 11: DOS at the Fermi energy 22.4 states/eV/f.u.. Number 12: DOS at the Fermi energy 11.8 states/eV/f.u..